[1]
DFT (PBE) results for an optimized crystal structure of MgUO4.

Values from the calculation:
Its formation energy without anion corrections is -18.0 eV/f.u.

Cell lengths 5.863, 5.863, 5.863 Å; angles 111.21, 107.05, 110.18 degrees
Sites, in units of the cell vectors:
Mg1 0.000 0.000 0.000
Mg2 0.500 0.000 0.500
U1 0.255 0.505 0.750
U2 0.745 0.495 0.250
O1 0.187 0.691 0.496
O2 0.256 0.208 0.453
O3 0.256 0.803 0.047
O4 0.304 0.309 0.996
O5 0.696 0.691 0.004
O6 0.744 0.197 0.953
O7 0.744 0.792 0.547
O8 0.813 0.309 0.504

[2]
DFT (PBE) results for an optimized crystal structure of Sr2Zn2Pb.

Values from the calculation:
The energy relative to the elements is -0.29 eV/atom. For the energy above the most stable polymorph in this dataset, the calculation gives 0.000 eV per atom.

Cell lengths 8.073, 8.073, 4.559 Å; angles 90.00, 90.00, 90.00 degrees
Sites, in units of the cell vectors:
Sr1 0.185 0.315 0.000
Sr2 0.315 0.815 0.000
Sr3 0.685 0.185 0.000
Sr4 0.815 0.685 0.000
Zn1 0.111 0.611 0.500
Zn2 0.389 0.111 0.500
Zn3 0.611 0.889 0.500
Zn4 0.889 0.389 0.500
Pb1 0.000 0.000 0.500
Pb2 0.500 0.500 0.500

[3]
DFT (PBE) results for an optimized crystal structure of Dy4Te2RhSe.

Values from the calculation:
Its formation energy without anion corrections is -10.4 eV/f.u.

Cell lengths 7.396, 4.124, 7.472 Å; angles 90.00, 108.35, 90.00 degrees
Sites, in units of the cell vectors:
Dy1 0.219 0.000 0.207
Dy2 0.246 0.500 0.781
Dy3 0.754 0.500 0.219
Dy4 0.781 0.000 0.793
Te1 0.000 0.000 0.500
Te2 0.500 0.500 0.500
Rh1 0.000 0.500 0.000
Se1 0.500 0.000 0.000

[4]
DFT (PBE) results for an optimized crystal structure of NaAlGa2Au4.

Values from the calculation:
The energy relative to the elements is -0.27 eV/atom.

Cell lengths 8.657, 8.657, 8.657 Å; angles 30.56, 30.56, 30.56 degrees
Sites, in units of the cell vectors:
Na1 0.000 0.000 0.000
Al1 0.500 0.500 0.500
Ga1 0.264 0.264 0.264
Ga2 0.736 0.736 0.736
Au1 0.137 0.137 0.137
Au2 0.396 0.396 0.396
Au3 0.604 0.604 0.604
Au4 0.863 0.863 0.863

[5]
DFT (PBE) results for an optimized crystal structure of SrOs2Ru.

Values from the calculation:
The energy relative to the elements is 0.62 eV/atom. For the energy above the most stable polymorph in this dataset, the calculation gives 0.015 eV per atom.

Cell lengths 2.894, 2.894, 8.484 Å; angles 90.00, 90.00, 90.00 degrees
Sites, in units of the cell vectors:
Sr1 0.000 0.000 0.000
Os1 0.000 0.000 0.496
Os2 0.500 0.500 0.299
Ru1 0.500 0.500 0.700

[6]
DFT (PBE) results for an optimized crystal structure of MgZr2Cd6.

Values from the calculation:
The energy relative to the elements is -0.09 eV/atom. For the energy above the most stable polymorph in this dataset, the calculation gives 0.000 eV per atom.

Cell lengths 8.540, 8.540, 3.091 Å; angles 90.01, 90.01, 120.08 degrees
Sites, in units of the cell vectors:
Mg1 0.000 0.000 0.000
Zr1 0.333 0.667 0.000
Zr2 0.667 0.333 0.000
Cd1 0.000 0.334 0.500
Cd2 0.000 0.666 0.500
Cd3 0.334 0.000 0.500
Cd4 0.334 0.334 0.502
Cd5 0.666 0.000 0.500
Cd6 0.666 0.666 0.498

[7]
DFT (PBE) results for an optimized crystal structure of ZrNi3.

Values from the calculation:
The energy relative to the elements is -0.46 eV/atom.

Cell lengths 5.319, 5.319, 4.326 Å; angles 90.00, 90.00, 120.00 degrees
Sites, in units of the cell vectors:
Zr1 0.333 0.667 0.250
Zr2 0.667 0.333 0.750
Ni1 0.156 0.312 0.750
Ni2 0.156 0.844 0.750
Ni3 0.312 0.156 0.250
Ni4 0.688 0.844 0.750
Ni5 0.844 0.156 0.250
Ni6 0.844 0.688 0.250

[8]
DFT (PBE) results for an optimized crystal structure of TeOsCl2.

Values from the calculation:
For the energy above the most stable polymorph in this dataset, the calculation gives 0.935 eV per atom. Its formation energy without anion corrections is 3.6 eV/f.u.

Cell lengths 6.640, 6.640, 6.640 Å; angles 116.47, 116.47, 96.24 degrees
Sites, in units of the cell vectors:
Te1 0.000 0.000 0.000
Te2 0.750 0.250 0.500
Os1 0.250 0.750 0.500
Os2 0.500 0.500 0.000
Cl1 0.249 0.625 0.124
Cl2 0.375 0.499 0.624
Cl3 0.501 0.125 0.876
Cl4 0.875 0.751 0.376

It is found that the volume values, taken in the order of the records, are 155 297 216 149 71 195 106 217 Å³ per cell.